(i)
VASP calculation (PBE-GGA) on a relaxed structure of ReNi2B.

- SG: I-42d (122)

abc: 3.214 3.214 9.014
angles: 79.73 79.73 90.00
Fractional positions:
Re: 0.750 0.250 0.500
Re: 0.000 0.000 0.000
Ni: 0.875 0.863 0.750
B: 0.250 0.750 0.500
Ni: 0.613 0.125 0.250
B: 0.500 0.500 0.000
Ni: 0.137 0.625 0.250
Ni: 0.375 0.387 0.750

(ii)
VASP calculation (PBE-GGA) on a relaxed structure of ReNi2B.

- SG: Fm-3m (225)

abc: 3.970 3.970 3.970
angles: 60.00 60.00 60.00
Fractional positions:
Ni: 0.750 0.750 0.750
B: 0.000 0.000 0.000
Ni: 0.250 0.250 0.250
Re: 0.500 0.500 0.500

Question: which arrangement is favored energetically? Ranking from most to least stable: (i), (ii).